Entry 1:
# Y3ReO

A relaxed Y3ReO crystal (PBE, the Alexandria database).

Computed properties:
The value obtained for the energy above the most stable polymorph in this dataset is 0.00 kcal/mol of atoms. The value obtained for the energy relative to the elements, uncorrected is -0.9539 eV/atom. The total energy is -8.3136 eV per atom.

Cell lengths 4.673, 4.673, 4.673 Å; angles 90.00, 90.00, 90.00 degrees
Element x y z (fractional)
Y 0.000 0.500 0.000
Y 0.000 0.000 0.500
Y 0.500 0.000 0.000
Re 0.500 0.500 0.500
O 0.000 0.000 0.000

***

Entry 2:
# Y3ReO8

A relaxed Y3ReO8 crystal (PBE, the Alexandria database).

Computed properties:
The value obtained for the energy relative to the elements, uncorrected is -2.8269 eV/atom. The total energy is -8.7857 eV per atom.

Cell lengths 6.056, 7.292, 13.696 Å; angles 98.27, 90.00, 90.00 degrees
Element x y z (fractional)
Y 0.802 0.284 0.945
Y 0.302 0.216 0.555
Y 0.198 0.716 0.055
Y 0.698 0.784 0.445
Y 0.759 0.108 0.702
Y 0.259 0.392 0.798
Y 0.241 0.892 0.298
Y 0.741 0.608 0.202
Y 0.311 0.941 0.833
Y 0.811 0.559 0.667
Y 0.689 0.059 0.167
Y 0.189 0.441 0.333
Re 0.754 0.731 0.910
Re 0.254 0.769 0.590
Re 0.246 0.269 0.090
Re 0.746 0.231 0.410
O 0.696 0.956 0.981
O 0.196 0.544 0.519
O 0.304 0.044 0.019
O 0.804 0.456 0.481
O 0.455 0.652 0.903
O 0.955 0.848 0.597
O 0.545 0.348 0.097
O 0.045 0.152 0.403
O 0.856 0.498 0.830
O 0.356 0.002 0.670
O 0.144 0.502 0.170
O 0.644 0.998 0.330
O 0.054 0.793 0.912
O 0.554 0.707 0.588
O 0.946 0.207 0.088
O 0.446 0.293 0.412
O 0.970 0.860 0.173
O 0.470 0.640 0.327
O 0.030 0.140 0.827
O 0.530 0.360 0.673
O 0.970 0.694 0.342
O 0.470 0.806 0.158
O 0.030 0.306 0.658
O 0.530 0.194 0.842
O 0.695 0.104 0.520
O 0.195 0.396 0.980
O 0.305 0.896 0.480
O 0.805 0.604 0.020
O 0.794 0.320 0.286
O 0.294 0.180 0.214
O 0.206 0.680 0.714
O 0.706 0.820 0.786

***

Entry 3:
# Y2ReO2

A relaxed Y2ReO2 crystal (PBE, the Alexandria database).

Computed properties:
The value obtained for the energy above the most stable polymorph in this dataset is 0.00 kcal/mol of atoms. The value obtained for the energy relative to the elements, uncorrected is -1.5087 eV/atom. The total energy is -8.5672 eV per atom.

Cell lengths 3.792, 3.792, 7.002 Å; angles 74.29, 74.29, 90.00 degrees
Element x y z (fractional)
Y 0.340 0.340 0.320
Y 0.660 0.660 0.680
Re 0.000 0.000 0.000
O 0.750 0.250 0.500
O 0.250 0.750 0.500

***

- Which value of energy relative to the elements, uncorrected does entry 1 give?
  -0.9539 eV/atom